VASP calculation (PBE-GGA) on crystalline ZnCr2Co2 at its relaxed geometry.

```
data_ZnCr2Co2
_chemical_formula_sum 'Zn2 Cr4 Co4'
_cell_length_a 6.8510
_cell_length_b 6.8510
_cell_length_c 2.5255
_cell_angle_alpha 90.00
_cell_angle_beta 90.00
_cell_angle_gamma 90.00
_symmetry_space_group_name_H-M 'P 4/m b m'
_symmetry_Int_Tables_number 127
_symmetry_space_group_name_Hall '-P 4 2ab'
loop_
_atom_site_label
_atom_site_fract_x
_atom_site_fract_y
_atom_site_fract_z
Zn1 0.0000 0.0000 0.0000
Cr1 0.1688 0.3312 0.5000
Co1 0.1251 0.6251 0.0000
```

Computed properties:
Crystal system: tetragonal
Raw total energy, eV per atom: -6.804
ΔE_f, eV per formula unit: 0.7
Spin magnetization, μB per cell: 0.0